Record 1
# PBE Cd3BC, optimized geometry
data_Cd3BC
_chemical_formula_sum 'Cd3 B1 C1'
_symmetry_space_group_name_H-M 'P 1'
_symmetry_Int_Tables_number 1
_symmetry_space_group_name_Hall 'P 1'
_cell_length_a 4.5406
_cell_length_b 4.5406
_cell_length_c 4.5406
_cell_angle_alpha 90.00
_cell_angle_beta 90.00
_cell_angle_gamma 90.00
loop_
_atom_site_label
_atom_site_type_symbol
_atom_site_fract_x
_atom_site_fract_y
_atom_site_fract_z
_atom_site_occupancy
Cd1 Cd 0.0000 0.0000 0.5000 1
Cd2 Cd 0.0000 0.5000 0.0000 1
Cd3 Cd 0.5000 0.0000 0.0000 1
B1 B 0.5000 0.5000 0.5000 1
C1 C 0.0000 0.0000 0.0000 1
# Crystal system ... cubic
# D(E_F) ... 2.49 states/eV/f.u.
# Magnetization ... 0.0000 μB/atom
# DFT formation energy ... 7.236 eV per formula unit
# Space-group type ... Pm-3m (221)

=====

Record 2
# PBE CdBC3, optimized geometry
data_CdBC3
_chemical_formula_sum 'Cd1 B1 C3'
_symmetry_space_group_name_H-M 'P 1'
_symmetry_Int_Tables_number 1
_symmetry_space_group_name_Hall 'P 1'
_cell_length_a 3.6342
_cell_length_b 3.6342
_cell_length_c 3.6342
_cell_angle_alpha 90.00
_cell_angle_beta 90.00
_cell_angle_gamma 90.00
loop_
_atom_site_label
_atom_site_type_symbol
_atom_site_fract_x
_atom_site_fract_y
_atom_site_fract_z
_atom_site_occupancy
Cd1 Cd 0.0000 0.0000 0.0000 1
B1 B 0.5000 0.5000 0.5000 1
C1 C 0.0000 0.5000 0.5000 1
C2 C 0.5000 0.0000 0.5000 1
C3 C 0.5000 0.5000 0.0000 1
# Crystal system ... cubic
# D(E_F) ... 2.10 states/eV/f.u.
# Magnetization ... 0.0000 μB/atom
# DFT formation energy ... 12.270 eV per formula unit
# Space-group type ... Pm-3m (221)

=====

Record 3
# PBE CdB2C, optimized geometry
data_CdB2C
_chemical_formula_sum 'Cd2 B4 C2'
_symmetry_space_group_name_H-M 'P 1'
_symmetry_Int_Tables_number 1
_symmetry_space_group_name_Hall 'P 1'
_cell_length_a 4.9859
_cell_length_b 4.9859
_cell_length_c 4.9859
_cell_angle_alpha 120.99
_cell_angle_beta 120.99
_cell_angle_gamma 88.29
loop_
_atom_site_label
_atom_site_type_symbol
_atom_site_fract_x
_atom_site_fract_y
_atom_site_fract_z
_atom_site_occupancy
Cd1 Cd 0.0000 0.0000 0.0000 1
Cd2 Cd 0.7500 0.2500 0.5000 1
B1 B 0.2588 0.6250 0.1338 1
B2 B 0.3750 0.5088 0.6338 1
B3 B 0.4912 0.1250 0.8662 1
B4 B 0.8750 0.7412 0.3662 1
C1 C 0.2500 0.7500 0.5000 1
C2 C 0.5000 0.5000 0.0000 1
# Crystal system ... tetragonal
# D(E_F) ... 0.03 states/eV/f.u.
# Magnetization ... 0.0000 μB/atom
# DFT formation energy ... 2.880 eV per formula unit
# Space-group type ... I-42d (122)

=====

Record 4
# PBE CdB3C, optimized geometry
data_CdB3C
_chemical_formula_sum 'Cd1 B3 C1'
_symmetry_space_group_name_H-M 'P 1'
_symmetry_Int_Tables_number 1
_symmetry_space_group_name_Hall 'P 1'
_cell_length_a 4.3365
_cell_length_b 4.3365
_cell_length_c 4.3365
_cell_angle_alpha 90.00
_cell_angle_beta 90.00
_cell_angle_gamma 90.00
loop_
_atom_site_label
_atom_site_type_symbol
_atom_site_fract_x
_atom_site_fract_y
_atom_site_fract_z
_atom_site_occupancy
Cd1 Cd 0.0000 0.0000 0.0000 1
B1 B 0.0000 0.0000 0.5000 1
B2 B 0.0000 0.5000 0.0000 1
B3 B 0.5000 0.0000 0.0000 1
C1 C 0.5000 0.5000 0.5000 1
# Crystal system ... cubic
# D(E_F) ... 3.29 states/eV/f.u.
# Magnetization ... 0.2487 μB/atom
# DFT formation energy ... 17.696 eV per formula unit
# Space-group type ... Pm-3m (221)

=====

> Which value of D(E_F) does entry 1 give?

2.49 states/eV/f.u.